# Pm2CuPtO6

A geometry-optimized Pm2CuPtO6 structure (GGA-PBE, Alexandria).

```
Pm2CuPtO6
1.0
-1.388 2.759 4.529
-5.808 -1.123 -1.096
0.462 -6.340 4.050
Cu Pm O Pt
2 4 12 2
direct
0.500 0.000 0.500 Cu
0.000 0.500 0.000 Cu
0.523 0.582 0.750 Pm
0.477 0.418 0.250 Pm
0.023 0.918 0.250 Pm
0.977 0.082 0.750 Pm
0.689 0.317 0.551 O
0.189 0.183 0.051 O
0.174 0.201 0.447 O
0.811 0.817 0.949 O
0.311 0.683 0.449 O
0.114 0.460 0.756 O
0.674 0.299 0.947 O
0.826 0.799 0.553 O
0.886 0.540 0.244 O
0.326 0.701 0.053 O
0.386 0.960 0.744 O
0.614 0.040 0.256 O
0.500 0.000 0.000 Pt
0.000 0.500 0.500 Pt
```

Calculated values
D(E_F), states/eV/f.u.: 2.02
Formation energy from raw total energies, eV per formula unit: -19.9

=====

# BaAg2Rh

A geometry-optimized BaAg2Rh structure (GGA-PBE, Alexandria).

```
BaAg2Rh
1.0
-0.570 -3.941 -1.276
1.776 0.855 -3.433
6.156 -1.106 0.663
Rh Ag Ba
1 2 1
direct
0.500 0.933 0.757 Rh
0.500 0.259 0.110 Ag
0.000 0.789 0.050 Ag
0.000 0.519 0.583 Ba
```

Calculated values
D(E_F), states/eV/f.u.: 1.93
ΔE to the lowest computed polymorph, eV per atom: 0.173

=====

# NaTcSeBr2

A geometry-optimized NaTcSeBr2 structure (GGA-PBE, Alexandria).

```
NaTcSeBr2
1.0
-4.822 -0.057 2.392
1.272 -4.619 2.455
1.772 2.419 3.631
Br Se Na Tc
2 1 1 1
direct
0.000 0.500 0.000 Br
0.500 0.000 0.000 Br
0.000 0.000 0.500 Se
0.500 0.500 0.500 Na
0.000 0.000 0.000 Tc
```

Calculated values
D(E_F), states/eV/f.u.: 2.48
ΔE to the lowest computed polymorph, eV per atom: 0.000
Formation energy from raw total energies, eV per formula unit: -1.7

=====

# InRhSe2

A geometry-optimized InRhSe2 structure (GGA-PBE, Alexandria).

```
InRhSe2
1.0
3.299 0.000 0.000
0.000 4.723 0.000
0.000 0.000 4.909
In Se Rh
1 2 1
direct
0.500 0.000 0.500 In
0.500 0.500 0.000 Se
0.000 0.000 0.000 Se
0.000 0.500 0.500 Rh
```

Calculated values
D(E_F), states/eV/f.u.: 2.37
Formation energy from raw total energies, eV per formula unit: 0.9

=====

# Tm2US5

A geometry-optimized Tm2US5 structure (GGA-PBE, Alexandria).

```
Tm2US5
1.0
-3.789 1.676 3.262
-1.101 -6.546 -2.179
6.780 -4.538 10.207
S Tm U
10 4 2
direct
0.953 0.906 0.880 S
0.684 0.368 0.928 S
0.316 0.632 0.072 S
0.047 0.094 0.120 S
0.684 0.368 0.572 S
0.758 0.517 0.250 S
0.242 0.483 0.750 S
0.047 0.094 0.380 S
0.316 0.632 0.428 S
0.953 0.906 0.620 S
0.146 0.292 0.944 Tm
0.146 0.292 0.556 Tm
0.854 0.708 0.444 Tm
0.854 0.708 0.056 Tm
0.800 0.599 0.750 U
0.200 0.401 0.250 U
```

Calculated values
D(E_F), states/eV/f.u.: 4.52
ΔE to the lowest computed polymorph, eV per atom: 0.000
Formation energy from raw total energies, eV per formula unit: -14.1

=====

# ZrHgAsBr2

A geometry-optimized ZrHgAsBr2 structure (GGA-PBE, Alexandria).

```
ZrHgAsBr2
1.0
5.340 0.000 0.000
0.000 5.340 0.000
0.000 0.000 5.317
Br Zr Hg As
2 1 1 1
direct
0.500 0.000 0.000 Br
0.000 0.500 0.000 Br
0.500 0.500 0.500 Zr
0.000 0.000 0.000 Hg
0.000 0.000 0.500 As
```

Calculated values
D(E_F), states/eV/f.u.: 4.62
ΔE to the lowest computed polymorph, eV per atom: 1.099
Formation energy from raw total energies, eV per formula unit: 3.2

=====

# YTmTe3

A geometry-optimized YTmTe3 structure (GGA-PBE, Alexandria).

```
YTmTe3
1.0
-3.530 -2.563 6.281
1.953 2.735 6.869
-5.329 5.100 3.741
Te Tm Y
6 2 2
direct
0.253 0.935 0.247 Te
0.065 0.436 0.753 Te
0.935 0.564 0.247 Te
0.436 0.747 0.753 Te
0.747 0.065 0.753 Te
0.564 0.253 0.247 Te
0.342 0.342 0.973 Tm
0.658 0.658 0.027 Tm
0.157 0.157 0.528 Y
0.843 0.843 0.472 Y
```

Calculated values
ΔE to the lowest computed polymorph, eV per atom: 0.000
Formation energy from raw total energies, eV per formula unit: -6.8

=====

# Tl5Hg12Bi2

A geometry-optimized Tl5Hg12Bi2 structure (GGA-PBE, Alexandria).

```
Tl5Hg12Bi2
1.0
5.763 0.000 -2.926
-1.181 11.726 -2.326
0.828 -1.284 8.772
Hg Tl Bi
12 5 2
direct
0.121 0.261 0.709 Hg
0.414 0.535 0.828 Hg
0.588 0.261 0.709 Hg
0.005 0.241 0.011 Hg
0.586 0.465 0.172 Hg
0.098 0.750 0.670 Hg
0.995 0.759 0.989 Hg
0.879 0.739 0.291 Hg
0.572 0.750 0.670 Hg
0.428 0.250 0.330 Hg
0.902 0.250 0.330 Hg
0.412 0.739 0.291 Hg
0.817 0.992 0.634 Tl
0.000 0.500 0.000 Tl
0.183 0.008 0.366 Tl
0.794 0.496 0.589 Tl
0.206 0.504 0.411 Tl
0.744 0.000 0.000 Bi
0.256 0.000 0.000 Bi
```

Calculated values
D(E_F), states/eV/f.u.: 6.11
Total DFT energy (no corrections), eV/cell: -22.52

=====

# La2Dy3Th4

A geometry-optimized La2Dy3Th4 structure (GGA-PBE, Alexandria).

```
La2Dy3Th4
1.0
3.533 0.000 -0.761
-0.757 9.073 -3.515
0.204 -0.624 9.531
La Th Dy
2 4 3
direct
0.663 0.000 0.327 La
0.337 0.000 0.673 La
0.525 0.337 0.050 Th
0.475 0.663 0.950 Th
0.816 0.660 0.632 Th
0.184 0.340 0.368 Th
0.000 0.000 0.000 Dy
0.853 0.336 0.707 Dy
0.147 0.664 0.293 Dy
```

Calculated values
D(E_F), states/eV/f.u.: 14.74
Total DFT energy (no corrections), eV/cell: -52.82

=====

# Ag2IBr

A geometry-optimized Ag2IBr structure (GGA-PBE, Alexandria).

```
Ag2IBr
1.0
-3.092 -1.128 2.888
-3.151 -2.813 -1.153
2.548 -7.535 3.103
Ag Br I
2 1 1
direct
0.110 0.110 0.671 Ag
0.890 0.890 0.329 Ag
0.500 0.500 0.500 Br
0.000 0.000 0.000 I
```

Calculated values
D(E_F), states/eV/f.u.: 1.00
ΔE to the lowest computed polymorph, eV per atom: 0.221
Formation energy from raw total energies, eV per formula unit: -0.3

=====

# K2ZrRu

A geometry-optimized K2ZrRu structure (GGA-PBE, Alexandria).

```
K2ZrRu
1.0
3.611 0.000 0.000
0.000 4.384 0.000
0.000 0.000 6.279
Zr Ru K
1 1 2
direct
0.000 0.500 0.500 Zr
0.500 0.000 0.500 Ru
0.500 0.500 0.000 K
0.000 0.000 0.000 K
```

Calculated values
D(E_F), states/eV/f.u.: 3.32
ΔE to the lowest computed polymorph, eV per atom: 0.578

=====

# LaZrPt2

A geometry-optimized LaZrPt2 structure (GGA-PBE, Alexandria).

```
LaZrPt2
1.0
-2.880 1.326 -3.622
1.008 -1.372 -4.502
-2.767 -3.270 -2.196
Pt La Zr
2 1 1
direct
0.250 0.250 0.250 Pt
0.000 0.000 0.000 Pt
0.500 0.500 0.500 La
0.750 0.750 0.750 Zr
```

Calculated values
D(E_F), states/eV/f.u.: 2.91
Total DFT energy (no corrections), eV/cell: -28.30